## PmMnGe2Mo (PBE)

Data for an optimized crystal structure of PmMnGe2Mo.

Energy relative to the elements ... -0.40 eV/atom

Cell: 4.033 4.033 11.462 Å, 90.00 90.00 90.00°
Space group I-4m2 (No. 119)
Symmetry-distinct sites (fractional):
Pm (0.000, 0.000, 0.000)
Mn (0.000, 0.500, 0.250)
Ge (0.000, 0.000, 0.386)
Mo (0.000, 0.500, 0.750)